No. 1
Compound: ScAg2Ir
Source: Alexandria via LeMat-Bulk
Functional: PBE
Structure: optimized geometry

```
ScAg2Ir
1.0
-4.016 -3.436 0.274
0.617 -4.641 -2.468
2.780 2.960 3.395
Ag Ir Sc
2 1 1
direct
0.000 0.000 0.000 Ag
0.500 0.500 0.000 Ag
0.750 0.250 0.500 Ir
0.250 0.750 0.500 Sc
```

Output
calculated formation energy: -0.291 eV per atom
space group: I4/mmm

---

No. 2
Compound: Sc4AgIr
Source: Alexandria via LeMat-Bulk
Functional: PBE
Structure: optimized geometry

```
Sc4AgIr
1.0
0.791 -4.977 2.208
-2.392 -1.300 4.782
-4.120 -3.646 0.114
Sc Ag Ir
4 1 1
direct
0.881 0.373 0.373 Sc
0.373 0.373 0.881 Sc
0.373 0.881 0.373 Sc
0.373 0.373 0.373 Sc
0.750 0.750 0.750 Ag
0.000 0.000 0.000 Ir
```

Output
calculated formation energy: 0.293 eV per atom
space group: F-43m

---

No. 3
Compound: Sc2Ag2Ir
Source: Alexandria via LeMat-Bulk
Functional: PBE
Structure: optimized geometry

```
Sc2Ag2Ir
1.0
-2.580 2.580 3.903
2.580 -2.580 3.903
2.580 2.580 -3.903
Sc Ag Ir
2 2 1
direct
0.250 0.750 0.500 Sc
0.750 0.250 0.500 Sc
0.656 0.656 0.000 Ag
0.344 0.344 0.000 Ag
0.000 0.000 0.000 Ir
```

Output
calculated formation energy: 0.167 eV per atom
space group: I4/mmm

---

No. 4
Compound: ScAgIr2
Source: Alexandria via LeMat-Bulk
Functional: PBE
Structure: optimized geometry

```
ScAgIr2
1.0
-1.849 1.274 1.820
-2.123 -0.315 -1.936
-1.799 -7.067 3.120
Ag Ir Sc
1 2 1
direct
0.500 0.500 0.750 Ag
0.000 0.000 0.010 Ir
0.000 0.000 0.490 Ir
0.500 0.500 0.250 Sc
```

Output
calculated formation energy: -0.144 eV per atom
space group: P4/mmm

---

No. 5
Compound: ScAgIr
Source: Alexandria via LeMat-Bulk
Functional: PBE
Structure: optimized geometry

```
ScAgIr
1.0
-2.251 -1.209 1.654
2.655 0.689 1.318
-2.295 6.177 1.393
Ag Ir Sc
1 1 1
direct
0.000 0.000 0.001 Ag
0.667 0.333 0.355 Ir
0.333 0.667 0.644 Sc
```

Output
calculated formation energy: -0.115 eV per atom
space group: P3m1

---

No. 6
Compound: Sc4AgIr
Source: Alexandria via LeMat-Bulk
Functional: PBE
Structure: optimized geometry

```
Sc4AgIr
1.0
-4.393 -1.236 0.401
1.102 -4.294 -1.157
1.000 -1.474 6.419
Sc Ag Ir
4 1 1
direct
0.501 0.997 0.269 Sc
0.501 0.997 0.727 Sc
0.001 0.497 0.727 Sc
0.001 0.497 0.269 Sc
0.501 0.497 0.998 Ag
0.001 0.997 0.498 Ir
```

Output
calculated formation energy: -0.319 eV per atom
space group: P4/mmm

---

No. 7
Compound: Sc8Ag2Ir
Source: Alexandria via LeMat-Bulk
Functional: PBE
Structure: optimized geometry

```
Sc8Ag2Ir
1.0
5.071 -0.213 -1.026
-2.093 6.685 -3.519
-0.116 -0.781 7.799
Sc Ag Ir
8 2 1
direct
0.621 0.335 0.114 Sc
0.621 0.114 0.335 Sc
0.196 0.369 0.369 Sc
0.994 0.196 0.805 Sc
0.994 0.805 0.196 Sc
0.783 0.637 0.637 Sc
0.353 0.891 0.669 Sc
0.353 0.669 0.891 Sc
0.503 0.713 0.303 Ag
0.503 0.303 0.713 Ag
0.079 0.003 0.003 Ir
```

Output
calculated formation energy: -0.191 eV per atom
space group: Cm

---

No. 8
Compound: ScAg2Ir
Source: Alexandria via LeMat-Bulk
Functional: PBE
Structure: optimized geometry

```
ScAg2Ir
1.0
0.000 3.272 3.272
3.272 0.000 3.272
3.272 3.272 0.000
Sc Ir Ag
1 1 2
direct
0.000 0.000 0.000 Sc
0.500 0.500 0.500 Ir
0.250 0.250 0.250 Ag
0.750 0.750 0.750 Ag
```

Output
calculated formation energy: -0.058 eV per atom
space group: Fm-3m

---

No. 9
Compound: ScAgIr2
Source: Alexandria via LeMat-Bulk
Functional: PBE
Structure: optimized geometry

```
ScAgIr2
1.0
4.009 0.000 0.000
0.000 4.010 0.000
0.000 0.000 4.010
Ag Ir Sc
1 2 1
direct
0.500 0.000 0.500 Ag
0.000 0.000 0.000 Ir
0.000 0.500 0.500 Ir
0.500 0.500 0.000 Sc
```

Output
calculated formation energy: -0.321 eV per atom
space group: P4/mmm

---

No. 10
Compound: Sc2AgIr2
Source: Alexandria via LeMat-Bulk
Functional: PBE
Structure: optimized geometry

```
Sc2AgIr2
1.0
7.785 0.000 0.000
0.000 7.785 0.000
0.000 0.000 2.998
Sc Ir Ag
4 4 2
direct
0.352 0.852 0.000 Sc
0.852 0.648 0.000 Sc
0.648 0.148 0.000 Sc
0.148 0.352 0.000 Sc
0.147 0.647 0.500 Ir
0.647 0.853 0.500 Ir
0.853 0.353 0.500 Ir
0.353 0.147 0.500 Ir
0.000 0.000 0.000 Ag
0.500 0.500 0.000 Ag
```

Output
calculated formation energy: -0.482 eV per atom
space group: P4/mbm

---

No. 11
Compound: Sc2Ag2Ir
Source: Alexandria via LeMat-Bulk
Functional: PBE
Structure: optimized geometry

```
Sc2Ag2Ir
1.0
7.352 0.000 0.000
0.000 7.352 0.000
0.000 0.000 3.488
Sc Ir Ag
4 2 4
direct
0.181 0.681 0.500 Sc
0.681 0.819 0.500 Sc
0.819 0.319 0.500 Sc
0.319 0.181 0.500 Sc
0.000 0.000 0.000 Ir
0.500 0.500 0.000 Ir
0.373 0.873 0.000 Ag
0.873 0.627 0.000 Ag
0.627 0.127 0.000 Ag
0.127 0.373 0.000 Ag
```

Output
calculated formation energy: -0.118 eV per atom
space group: P4/mbm

---

No. 12
Compound: ScAg2Ir
Source: Alexandria via LeMat-Bulk
Functional: PBE
Structure: optimized geometry

```
ScAg2Ir
1.0
-2.724 -1.217 3.536
-1.299 -4.411 0.508
1.712 -2.530 3.475
Ag Ir Sc
2 1 1
direct
0.000 0.000 0.000 Ag
0.250 0.250 0.250 Ag
0.500 0.500 0.500 Ir
0.750 0.750 0.750 Sc
```

Output
calculated formation energy: -0.208 eV per atom
space group: F-43m

---

No. 13
Compound: ScAg2Ir
Source: Alexandria via LeMat-Bulk
Functional: PBE
Structure: optimized geometry

```
ScAg2Ir
1.0
3.923 0.000 0.000
0.000 3.923 0.000
0.000 0.000 4.441
Ag Ir Sc
2 1 1
direct
0.000 0.000 0.000 Ag
0.500 0.500 0.000 Ag
0.500 0.000 0.500 Ir
0.000 0.500 0.500 Sc
```

Output
calculated formation energy: -0.299 eV per atom
space group: P4/mmm

---

No. 14
Compound: ScAg2Ir
Source: Alexandria via LeMat-Bulk
Functional: PBE
Structure: optimized geometry

```
ScAg2Ir
1.0
4.877 -0.543 0.345
3.513 3.426 0.345
1.593 0.548 3.841
Ag Ir Sc
2 1 1
direct
0.000 0.000 0.000 Ag
0.250 0.250 0.250 Ag
0.500 0.500 0.500 Ir
0.750 0.750 0.750 Sc
```

Output
calculated formation energy: -0.250 eV per atom
space group: I-4m2